No. 1
A relaxed Ba2Tl6Au3 crystal, computed with GGA-PBE.

Properties
For the density of states at the Fermi level, the calculation gives 8.28 states/eV/f.u. For the formation energy, the calculation gives -0.308 eV/atom.

a b c (Å): 4.844 9.013 9.013
angles (deg): 120.00 90.00 90.00
Fractional coordinates of all 11 atoms:
Au1 0.500 0.000 0.613
Au2 0.500 0.387 0.387
Au3 0.500 0.613 0.000
Tl1 0.000 0.204 0.204
Tl2 0.500 0.000 0.296
Tl3 0.000 0.000 0.796
Tl4 0.500 0.704 0.704
Tl5 0.000 0.796 0.000
Tl6 0.500 0.296 0.000
Ba1 0.000 0.333 0.667
Ba2 0.000 0.667 0.333

***

No. 2
A relaxed Ba2Tl2Au crystal, computed with GGA-PBE.

Properties
For the density of states at the Fermi level, the calculation gives 6.50 states/eV/f.u. For the formation energy, the calculation gives -0.297 eV/atom. The polymorph energy (0 for the lowest one) comes out at 79 kJ/mol of formula units.

a b c (Å): 8.240 8.240 5.270
angles (deg): 90.00 90.00 90.00
Fractional coordinates of all 10 atoms:
Tl1 0.638 0.138 0.000
Tl2 0.862 0.638 0.000
Tl3 0.362 0.862 0.000
Tl4 0.138 0.362 0.000
Ba1 0.332 0.168 0.500
Ba2 0.668 0.832 0.500
Ba3 0.168 0.668 0.500
Ba4 0.832 0.332 0.500
Au1 0.000 0.000 0.000
Au2 0.500 0.500 0.000

***

No. 3
A relaxed BaTl2Au crystal, computed with GGA-PBE.

Properties
For the density of states at the Fermi level, the calculation gives 2.50 states/eV/f.u. For the formation energy, the calculation gives -0.210 eV/atom.

a b c (Å): 3.895 3.895 7.857
angles (deg): 90.00 90.00 89.86
Fractional coordinates of all 4 atoms:
Au1 0.500 0.500 0.250
Tl1 0.000 0.000 0.054
Tl2 0.000 0.000 0.446
Ba1 0.500 0.500 0.750

***

No. 4
A relaxed Ba6TlAu crystal, computed with GGA-PBE.

Properties
For the density of states at the Fermi level, the calculation gives 9.16 states/eV/f.u. For the formation energy, the calculation gives -0.244 eV/atom. The polymorph energy (0 for the lowest one) comes out at 21 kJ/mol of formula units.

a b c (Å): 8.226 8.227 9.084
angles (deg): 63.10 63.09 60.02
Fractional coordinates of all 8 atoms:
Ba1 0.228 0.935 0.251
Ba2 0.414 0.772 0.749
Ba3 0.935 0.586 0.251
Ba4 0.772 0.065 0.749
Ba5 0.586 0.228 0.251
Ba6 0.065 0.414 0.749
Tl1 0.500 0.500 0.500
Au1 0.000 0.000 0.000

***

No. 5
A relaxed BaTl2Au crystal, computed with GGA-PBE.

Properties
For the density of states at the Fermi level, the calculation gives 1.51 states/eV/f.u. For the formation energy, the calculation gives -0.323 eV/atom.

a b c (Å): 5.947 5.947 5.947
angles (deg): 132.31 123.64 76.87
Fractional coordinates of all 4 atoms:
Ba1 0.267 0.767 0.500
Au1 0.527 0.527 0.000
Tl1 0.987 0.987 0.000
Tl2 0.720 0.220 0.500

***

No. 6
A relaxed BaTl2Au crystal, computed with GGA-PBE.

Properties
For the density of states at the Fermi level, the calculation gives 3.57 states/eV/f.u. For the formation energy, the calculation gives -0.291 eV/atom.

a b c (Å): 4.734 4.734 5.639
angles (deg): 90.00 90.00 90.00
Fractional coordinates of all 4 atoms:
Ba1 0.000 0.500 0.500
Tl1 0.500 0.500 0.000
Tl2 0.000 0.000 0.000
Au1 0.500 0.000 0.500

***

No. 7
A relaxed BaTlAu crystal, computed with GGA-PBE.

Properties
For the density of states at the Fermi level, the calculation gives 1.84 states/eV/f.u. For the formation energy, the calculation gives -0.401 eV/atom.

a b c (Å): 6.329 6.328 6.328
angles (deg): 142.42 142.45 54.18
Fractional coordinates of all 3 atoms:
Ba1 0.341 0.341 0.000
Au1 0.016 0.016 0.000
Tl1 0.643 0.643 0.000

***

No. 8
A relaxed BaTlAu crystal, computed with GGA-PBE.

Properties
For the density of states at the Fermi level, the calculation gives 1.31 states/eV/f.u. For the formation energy, the calculation gives -0.531 eV/atom.

a b c (Å): 4.789 4.187 11.055
angles (deg): 100.92 115.58 90.00
Fractional coordinates of all 6 atoms:
Au1 0.163 0.456 0.912
Au2 0.837 0.544 0.088
Ba1 0.450 0.100 0.200
Ba2 0.550 0.900 0.800
Tl1 0.830 0.290 0.580
Tl2 0.170 0.710 0.420

***

No. 9
A relaxed Ba2Tl3Au crystal, computed with GGA-PBE.

Properties
For the density of states at the Fermi level, the calculation gives 4.56 states/eV/f.u. For the formation energy, the calculation gives -0.420 eV/atom. The polymorph energy (0 for the lowest one) comes out at 17 kJ/mol of formula units.

a b c (Å): 6.759 6.759 10.572
angles (deg): 112.96 112.96 77.27
Fractional coordinates of all 12 atoms:
Ba1 0.250 0.750 0.500
Ba2 0.746 0.254 0.000
Ba3 0.750 0.250 0.500
Ba4 0.254 0.746 0.000
Tl1 0.172 0.172 0.344
Tl2 0.344 0.344 0.172
Tl3 0.656 0.656 0.828
Tl4 0.829 0.829 0.172
Tl5 0.171 0.171 0.828
Tl6 0.828 0.828 0.656
Au1 0.667 0.667 0.334
Au2 0.333 0.333 0.666

***

No. 10
A relaxed BaTlV2Au crystal, computed with GGA-PBE.

Properties
For the density of states at the Fermi level, the calculation gives 10.22 states/eV/f.u. For the formation energy, the calculation gives 0.745 eV/atom.

a b c (Å): 5.212 5.562 5.212
angles (deg): 90.00 90.00 90.00
Each line ends with the local moment (μB).
Fractional coordinates of all 5 atoms:
V1 0.500 0.000 0.000  2.89
V2 0.000 0.000 0.500  2.61
Ba1 0.500 0.500 0.500  0.08
Au1 0.000 0.000 0.000  0.11
Tl1 0.000 0.500 0.000  0.01

***

No. 11
A relaxed Ba2TlZn3Au4 crystal, computed with GGA-PBE.

Properties
For the density of states at the Fermi level, the calculation gives 4.80 states/eV/f.u. For the formation energy, the calculation gives -0.460 eV/atom.

a b c (Å): 4.710 4.710 11.213
angles (deg): 90.00 90.00 90.00
Fractional coordinates of all 10 atoms:
Zn1 0.000 0.000 0.500
Zn2 0.500 0.000 0.888
Zn3 0.000 0.500 0.112
Tl1 0.500 0.500 0.500
Au1 0.500 0.000 0.653
Au2 0.500 0.500 0.000
Au3 0.000 0.000 0.000
Au4 0.000 0.500 0.347
Ba1 0.000 0.500 0.763
Ba2 0.500 0.000 0.237

***

No. 12
A relaxed BaTlZnAu3 crystal, computed with GGA-PBE.

Properties
For the density of states at the Fermi level, the calculation gives 2.81 states/eV/f.u. For the formation energy, the calculation gives -0.293 eV/atom.

a b c (Å): 7.266 6.576 7.348
angles (deg): 116.58 90.00 90.00
Fractional coordinates of all 12 atoms:
Zn1 0.750 0.039 0.078
Zn2 0.250 0.961 0.922
Au1 0.000 0.269 0.000
Au2 0.500 0.731 0.000
Au3 0.750 0.842 0.684
Au4 0.500 0.269 0.000
Au5 0.250 0.158 0.316
Au6 0.000 0.731 0.000
Tl1 0.750 0.628 0.256
Tl2 0.250 0.372 0.744
Ba1 0.250 0.703 0.406
Ba2 0.750 0.297 0.594

***

No. 13
A relaxed BaTlZn2Au5 crystal, computed with GGA-PBE.

Properties
For the density of states at the Fermi level, the calculation gives 2.53 states/eV/f.u. For the formation energy, the calculation gives -0.218 eV/atom.

a b c (Å): 5.135 5.135 7.889
angles (deg): 90.00 90.00 90.00
Fractional coordinates of all 9 atoms:
Au1 0.500 0.000 0.224
Au2 0.500 0.000 0.776
Au3 0.500 0.500 0.500
Au4 0.000 0.500 0.224
Au5 0.000 0.500 0.776
Ba1 0.000 0.000 0.500
Zn1 0.500 0.500 0.164
Zn2 0.500 0.500 0.836
Tl1 0.000 0.000 0.000

***

No. 14
A relaxed BaTl2ZnAu crystal, computed with GGA-PBE.

Properties
For the density of states at the Fermi level, the calculation gives 2.83 states/eV/f.u. For the formation energy, the calculation gives -0.163 eV/atom.

a b c (Å): 5.424 5.424 5.120
angles (deg): 90.00 90.00 90.00
Fractional coordinates of all 5 atoms:
Au1 0.000 0.000 0.500
Tl1 0.000 0.500 0.000
Tl2 0.500 0.000 0.000
Zn1 0.000 0.000 0.000
Ba1 0.500 0.500 0.500

***

No. 15
A relaxed BaTlZnAu2 crystal, computed with GGA-PBE.

Properties
For the density of states at the Fermi level, the calculation gives 1.92 states/eV/f.u. For the formation energy, the calculation gives -0.273 eV/atom.

a b c (Å): 5.146 5.146 5.250
angles (deg): 90.00 90.00 90.00
Fractional coordinates of all 5 atoms:
Ba1 0.500 0.500 0.500
Zn1 0.000 0.000 0.000
Tl1 0.000 0.000 0.500
Au1 0.500 0.000 0.000
Au2 0.000 0.500 0.000

***

No. 16
A relaxed Ba2TlZnAu6 crystal, computed with GGA-PBE.

Properties
For the density of states at the Fermi level, the calculation gives 3.59 states/eV/f.u. For the formation energy, the calculation gives -0.418 eV/atom.

a b c (Å): 7.552 7.369 7.356
angles (deg): 45.14 79.24 95.65
Fractional coordinates of all 10 atoms:
Au1 0.593 0.744 0.154
Au2 0.275 0.759 0.985
Au3 0.407 0.256 0.846
Au4 0.727 0.741 0.517
Au5 0.273 0.259 0.483
Au6 0.725 0.241 0.015
Ba1 0.207 0.752 0.542
Ba2 0.793 0.248 0.458
Tl1 0.000 0.000 0.000
Zn1 0.500 0.500 0.000

***

No. 17
A relaxed Ba2TlZnAu crystal, computed with GGA-PBE.

Properties
For the density of states at the Fermi level, the calculation gives 4.88 states/eV/f.u. For the formation energy, the calculation gives -0.304 eV/atom.

a b c (Å): 6.357 6.357 4.914
angles (deg): 90.00 90.00 90.00
Fractional coordinates of all 5 atoms:
Au1 0.000 0.000 0.000
Zn1 0.000 0.000 0.500
Ba1 0.500 0.000 0.000
Ba2 0.000 0.500 0.000
Tl1 0.500 0.500 0.500

***

No. 18
A relaxed BaTlZnAu crystal, computed with GGA-PBE.

Properties
For the density of states at the Fermi level, the calculation gives 4.04 states/eV/f.u. For the formation energy, the calculation gives -0.277 eV/atom.

a b c (Å): 5.410 5.410 5.410
angles (deg): 60.00 60.00 60.00
Fractional coordinates of all 4 atoms:
Ba1 0.000 0.000 0.000
Zn1 0.750 0.750 0.750
Au1 0.250 0.250 0.250
Tl1 0.500 0.500 0.500

***

No. 19
A relaxed BaTmZn2Au5 crystal, computed with GGA-PBE.

Properties
For the density of states at the Fermi level, the calculation gives 3.99 states/eV/f.u. For the formation energy, the calculation gives -0.438 eV/atom.

a b c (Å): 5.061 5.061 8.191
angles (deg): 90.00 90.00 90.00
Fractional coordinates of all 9 atoms:
Au1 0.500 0.500 0.500
Au2 0.000 0.500 0.804
Au3 0.000 0.500 0.196
Au4 0.500 0.000 0.804
Au5 0.500 0.000 0.196
Zn1 0.500 0.500 0.826
Zn2 0.500 0.500 0.174
Tm1 0.000 0.000 0.000
Ba1 0.000 0.000 0.500

***

No. 20
A relaxed BaV3Au crystal, computed with GGA-PBE.

Properties
For the density of states at the Fermi level, the calculation gives 3.86 states/eV/f.u. For the formation energy, the calculation gives 2.298 eV/atom. The polymorph energy (0 for the lowest one) comes out at 594 kJ/mol of formula units.

a b c (Å): 4.739 4.739 4.739
angles (deg): 90.00 90.00 90.00
Fractional coordinates of all 5 atoms:
V1 0.000 0.500 0.000
V2 0.000 0.000 0.500
V3 0.500 0.000 0.000
Au1 0.500 0.500 0.500
Ba1 0.000 0.000 0.000

***

No. 21
A relaxed BaV3Au crystal, computed with GGA-PBE.

Properties
For the density of states at the Fermi level, the calculation gives 12.11 states/eV/f.u. For the formation energy, the calculation gives 1.067 eV/atom. The polymorph energy (0 for the lowest one) comes out at 0 kJ/mol of formula units.

a b c (Å): 5.141 5.141 5.141
angles (deg): 90.00 90.00 90.00
Each line ends with the local moment (μB).
Fractional coordinates of all 5 atoms:
V1 0.500 0.000 0.000  2.54
V2 0.000 0.500 0.000  2.54
V3 0.000 0.000 0.500  2.54
Au1 0.000 0.000 0.000  0.13
Ba1 0.500 0.500 0.500  0.17

***

No. 22
A relaxed BaZrV2Au crystal, computed with GGA-PBE.

Properties
For the density of states at the Fermi level, the calculation gives 6.64 states/eV/f.u. For the formation energy, the calculation gives 2.093 eV/atom.

a b c (Å): 4.829 5.272 4.829
angles (deg): 90.00 90.00 90.00
Each line ends with the local moment (μB).
Fractional coordinates of all 5 atoms:
Zr1 0.000 0.500 0.000  -0.19
V1 0.500 0.000 0.000  1.87
V2 0.000 0.000 0.500  1.29
Au1 0.500 0.500 0.500  -0.01
Ba1 0.000 0.000 0.000  -0.10

***

No. 23
A relaxed BaWAu3 crystal, computed with GGA-PBE.

Properties
For the density of states at the Fermi level, the calculation gives 5.52 states/eV/f.u. For the formation energy, the calculation gives 1.831 eV/atom. The polymorph energy (0 for the lowest one) comes out at 780 kJ/mol of formula units.

a b c (Å): 5.941 5.941 5.941
angles (deg): 90.00 90.00 90.00
Each line ends with the local moment (μB).
Fractional coordinates of all 5 atoms:
W1 0.500 0.500 0.500  3.56
Au1 0.500 0.000 0.000  -0.03
Au2 0.000 0.000 0.500  -0.01
Au3 0.000 0.500 0.000  0.00
Ba1 0.000 0.000 0.000  -0.01

***

No. 24
A relaxed Ba2W2Au crystal, computed with GGA-PBE.

Properties
For the density of states at the Fermi level, the calculation gives 5.56 states/eV/f.u. For the formation energy, the calculation gives 0.510 eV/atom. The polymorph energy (0 for the lowest one) comes out at 0 kJ/mol of formula units.

a b c (Å): 3.708 3.708 10.770
angles (deg): 80.09 80.09 90.00
Fractional coordinates of all 5 atoms:
Ba1 0.606 0.606 0.789
Ba2 0.394 0.394 0.211
W1 0.250 0.750 0.500
W2 0.750 0.250 0.500
Au1 0.000 0.000 0.000

***

No. 25
A relaxed Ba2W2Au crystal, computed with GGA-PBE.

Properties
For the density of states at the Fermi level, the calculation gives 4.41 states/eV/f.u. For the formation energy, the calculation gives 1.207 eV/atom. The polymorph energy (0 for the lowest one) comes out at 336 kJ/mol of formula units.

a b c (Å): 9.828 9.828 3.174
angles (deg): 90.00 90.00 90.00
Fractional coordinates of all 10 atoms:
W1 0.080 0.580 0.500
W2 0.420 0.080 0.500
W3 0.580 0.920 0.500
W4 0.920 0.420 0.500
Ba1 0.293 0.793 0.000
Ba2 0.207 0.293 0.000
Ba3 0.707 0.207 0.000
Ba4 0.793 0.707 0.000
Au1 0.500 0.500 0.000
Au2 0.000 0.000 0.000

***

No. 26
A relaxed BaWAu3 crystal, computed with GGA-PBE.

Properties
For the density of states at the Fermi level, the calculation gives 4.37 states/eV/f.u. For the formation energy, the calculation gives 0.213 eV/atom. The polymorph energy (0 for the lowest one) comes out at 0 kJ/mol of formula units.

a b c (Å): 5.176 5.176 5.176
angles (deg): 90.00 90.00 90.00
Fractional coordinates of all 5 atoms:
Ba1 0.500 0.500 0.500
Au1 0.500 0.000 0.000
Au2 0.000 0.500 0.000
Au3 0.000 0.000 0.500
W1 0.000 0.000 0.000